1.
A geometry-optimized FeW2Cl structure. Source: Alexandria, functional GGA-PBE. Values from VASP.

Output
The value obtained for the uncorrected formation energy is 0.663 eV per atom. The excess energy over the best structure of this formula in the dataset comes out at 0.254 eV/atom. For the calculated total energy, the calculation gives -8.3914 eV/atom. Its total magnetic moment is 1.84 μB/f.u.

Geometry as Quantum ESPRESSO input:
```
&SYSTEM
  ibrav = 0, nat = 4, ntyp = 3
/
ATOMIC_SPECIES
W 183.84 W.upf
Cl 35.45 Cl.upf
Fe 55.84 Fe.upf
ATOMIC_POSITIONS crystal
W 0.000 0.000 0.988
Cl 0.500 0.500 0.250
Fe 0.500 0.500 0.750
W 0.000 0.000 0.512
CELL_PARAMETERS angstrom
2.785 0.012 0.000
-1.209 2.509 0.000
0.000 0.000 8.786
```



2.
A geometry-optimized FeW2Cl structure. Source: Alexandria, functional GGA-PBE. Values from VASP.

Output
The value obtained for the uncorrected formation energy is 1.079 eV per atom. The excess energy over the best structure of this formula in the dataset comes out at 0.671 eV/atom. For the calculated total energy, the calculation gives -7.9749 eV/atom. Its total magnetic moment is 2.00 μB/f.u.

Geometry as Quantum ESPRESSO input:
```
&SYSTEM
  ibrav = 0, nat = 4, ntyp = 3
/
ATOMIC_SPECIES
Cl 35.45 Cl.upf
Fe 55.84 Fe.upf
W 183.84 W.upf
ATOMIC_POSITIONS crystal
Cl 0.500 0.000 0.500
Fe 0.000 0.500 0.500
W 0.000 0.000 0.000
W 0.500 0.500 0.000
CELL_PARAMETERS angstrom
-1.223 -3.705 -2.988
3.739 -0.967 3.039
-1.780 -0.938 1.891
```



3.
A geometry-optimized YFe2Cl structure. Source: Alexandria, functional GGA-PBE. Values from VASP.

Output
The value obtained for the uncorrected formation energy is 0.023 eV per atom. The excess energy over the best structure of this formula in the dataset comes out at 0.271 eV/atom. For the calculated total energy, the calculation gives -6.2862 eV/atom. Its total magnetic moment is 4.92 μB/f.u.

Geometry as Quantum ESPRESSO input:
```
&SYSTEM
  ibrav = 0, nat = 4, ntyp = 3
/
ATOMIC_SPECIES
Cl 35.45 Cl.upf
Fe 55.84 Fe.upf
Y 88.91 Y.upf
ATOMIC_POSITIONS crystal
Cl 0.500 0.750 0.750
Fe 0.000 0.515 0.463
Fe 0.000 0.985 0.037
Y 0.500 0.250 0.250
CELL_PARAMETERS angstrom
5.371 0.000 0.000
0.000 3.255 -0.003
0.000 -0.015 4.239
```



4.
A geometry-optimized YFeCl structure. Source: Alexandria, functional GGA-PBE. Values from VASP.

Output
The value obtained for the uncorrected formation energy is -1.105 eV per atom. For the calculated total energy, the calculation gives -6.6960 eV/atom. Its total magnetic moment is 0.77 μB/f.u.

Geometry as Quantum ESPRESSO input:
```
&SYSTEM
  ibrav = 0, nat = 6, ntyp = 3
/
ATOMIC_SPECIES
Fe 55.84 Fe.upf
Cl 35.45 Cl.upf
Y 88.91 Y.upf
ATOMIC_POSITIONS crystal
Fe 0.327 0.164 0.491
Cl 0.444 0.719 0.164
Y 0.880 0.439 0.319
Y 0.120 0.561 0.681
Fe 0.673 0.836 0.509
Cl 0.556 0.281 0.836
CELL_PARAMETERS angstrom
3.789 -0.019 -0.526
-1.919 3.309 -0.029
-0.322 -0.126 11.350
```



5.
A geometry-optimized YFeCl3 structure. Source: Alexandria, functional GGA-PBE. Values from VASP.

Output
The value obtained for the uncorrected formation energy is -0.513 eV per atom. The excess energy over the best structure of this formula in the dataset comes out at 0.255 eV/atom. For the calculated total energy, the calculation gives -4.6064 eV/atom. Its total magnetic moment is 0.00 μB/f.u.

Geometry as Quantum ESPRESSO input:
```
&SYSTEM
  ibrav = 0, nat = 5, ntyp = 3
/
ATOMIC_SPECIES
Cl 35.45 Cl.upf
Fe 55.84 Fe.upf
Y 88.91 Y.upf
ATOMIC_POSITIONS crystal
Cl 0.000 0.500 0.000
Cl 0.000 0.000 0.500
Fe 0.000 0.000 0.000
Y 0.500 0.500 0.500
Cl 0.500 0.000 0.000
CELL_PARAMETERS angstrom
-1.370 -0.666 4.303
-0.327 -4.483 -0.798
4.342 -0.548 1.298
```



6.
A geometry-optimized Y4FeCl structure. Source: Alexandria, functional GGA-PBE. Values from VASP.

Output
The value obtained for the uncorrected formation energy is 0.686 eV per atom. For the calculated total energy, the calculation gives -5.3418 eV/atom. Its total magnetic moment is 2.68 μB/f.u.

Geometry as Quantum ESPRESSO input:
```
&SYSTEM
  ibrav = 0, nat = 6, ntyp = 3
/
ATOMIC_SPECIES
Y 88.91 Y.upf
Cl 35.45 Cl.upf
Fe 55.84 Fe.upf
ATOMIC_POSITIONS crystal
Y 0.373 0.373 0.373
Y 0.880 0.373 0.373
Y 0.373 0.373 0.880
Y 0.373 0.880 0.373
Cl 0.750 0.750 0.750
Fe 0.000 0.000 0.000
CELL_PARAMETERS angstrom
0.000 4.501 4.501
4.501 0.000 4.501
4.501 4.501 0.000
```



7.
A geometry-optimized YFeCl structure. Source: Alexandria, functional GGA-PBE. Values from VASP.

Output
The value obtained for the uncorrected formation energy is -0.147 eV per atom. For the calculated total energy, the calculation gives -5.7381 eV/atom. Its total magnetic moment is 0.26 μB/f.u.

Geometry as Quantum ESPRESSO input:
```
&SYSTEM
  ibrav = 0, nat = 3, ntyp = 3
/
ATOMIC_SPECIES
Cl 35.45 Cl.upf
Y 88.91 Y.upf
Fe 55.84 Fe.upf
ATOMIC_POSITIONS crystal
Cl 0.000 0.000 0.167
Y 0.333 0.667 0.667
Fe 0.667 0.333 0.166
CELL_PARAMETERS angstrom
-3.660 -0.185 1.782
0.384 -0.874 -3.962
0.556 -3.355 0.794
```



8.
A geometry-optimized YFe2Cl structure. Source: Alexandria, functional GGA-PBE. Values from VASP.

Output
The value obtained for the uncorrected formation energy is 0.257 eV per atom. The excess energy over the best structure of this formula in the dataset comes out at 0.506 eV/atom. For the calculated total energy, the calculation gives -6.0517 eV/atom. Its total magnetic moment is 5.47 μB/f.u.

Geometry as Quantum ESPRESSO input:
```
&SYSTEM
  ibrav = 0, nat = 4, ntyp = 3
/
ATOMIC_SPECIES
Y 88.91 Y.upf
Cl 35.45 Cl.upf
Fe 55.84 Fe.upf
ATOMIC_POSITIONS crystal
Y 0.500 0.500 0.000
Cl 0.750 0.250 0.500
Fe 0.250 0.750 0.500
Fe 0.000 0.000 0.000
CELL_PARAMETERS angstrom
4.820 -0.001 0.000
0.726 4.765 0.000
-2.773 -2.382 3.141
```



9.
A geometry-optimized YFe2Cl structure. Source: Alexandria, functional GGA-PBE. Values from VASP.

Output
The value obtained for the uncorrected formation energy is -0.217 eV per atom. The excess energy over the best structure of this formula in the dataset comes out at 0.031 eV/atom. For the calculated total energy, the calculation gives -6.5260 eV/atom. Its total magnetic moment is 1.70 μB/f.u.

Geometry as Quantum ESPRESSO input:
```
&SYSTEM
  ibrav = 0, nat = 4, ntyp = 3
/
ATOMIC_SPECIES
Fe 55.84 Fe.upf
Y 88.91 Y.upf
Cl 35.45 Cl.upf
ATOMIC_POSITIONS crystal
Fe 0.948 0.948 0.948
Fe 0.264 0.264 0.264
Y 0.516 0.516 0.516
Cl 0.772 0.772 0.772
CELL_PARAMETERS angstrom
7.930 -0.040 -0.024
7.084 3.563 -0.024
7.084 1.662 3.152
```



10.
A geometry-optimized YFe2Cl structure. Source: Alexandria, functional GGA-PBE. Values from VASP.

Output
The value obtained for the uncorrected formation energy is 0.348 eV per atom. The excess energy over the best structure of this formula in the dataset comes out at 0.596 eV/atom. For the calculated total energy, the calculation gives -5.9610 eV/atom. Its total magnetic moment is 5.70 μB/f.u.

Geometry as Quantum ESPRESSO input:
```
&SYSTEM
  ibrav = 0, nat = 4, ntyp = 3
/
ATOMIC_SPECIES
Fe 55.84 Fe.upf
Y 88.91 Y.upf
Cl 35.45 Cl.upf
ATOMIC_POSITIONS crystal
Fe 0.491 0.491 0.491
Y 0.250 0.250 0.250
Fe 0.009 0.009 0.009
Cl 0.750 0.750 0.750
CELL_PARAMETERS angstrom
-3.950 -2.515 7.190
-3.660 -5.354 5.618
-1.173 -4.209 7.385
```



11.
A geometry-optimized YFe2Cl structure. Source: Alexandria, functional GGA-PBE. Values from VASP.

Output
The value obtained for the uncorrected formation energy is 0.033 eV per atom. The excess energy over the best structure of this formula in the dataset comes out at 0.281 eV/atom. For the calculated total energy, the calculation gives -6.2761 eV/atom. Its total magnetic moment is 4.86 μB/f.u.

Geometry as Quantum ESPRESSO input:
```
&SYSTEM
  ibrav = 0, nat = 4, ntyp = 3
/
ATOMIC_SPECIES
Y 88.91 Y.upf
Fe 55.84 Fe.upf
Cl 35.45 Cl.upf
ATOMIC_POSITIONS crystal
Y 0.250 0.750 0.500
Fe 0.502 0.502 0.000
Cl 0.750 0.250 0.500
Fe 0.998 0.998 0.000
CELL_PARAMETERS angstrom
-5.731 0.571 1.137
-4.341 -2.923 -2.659
4.990 -0.134 3.089
```



12.
A geometry-optimized YFeCl structure. Source: Alexandria, functional GGA-PBE. Values from VASP.

Output
The value obtained for the uncorrected formation energy is 0.180 eV per atom. For the calculated total energy, the calculation gives -5.4109 eV/atom. Its total magnetic moment is 2.00 μB/f.u.

Geometry as Quantum ESPRESSO input:
```
&SYSTEM
  ibrav = 0, nat = 3, ntyp = 3
/
ATOMIC_SPECIES
Cl 35.45 Cl.upf
Fe 55.84 Fe.upf
Y 88.91 Y.upf
ATOMIC_POSITIONS crystal
Cl 0.000 0.000 0.000
Fe 0.500 0.500 0.500
Y 0.750 0.750 0.750
CELL_PARAMETERS angstrom
-2.521 -3.966 0.519
0.119 -2.358 4.097
-3.796 -0.036 2.818
```



13.
A geometry-optimized Y4FeCl2 structure. Source: Alexandria, functional GGA-PBE. Values from VASP.

Output
The value obtained for the uncorrected formation energy is -0.485 eV per atom. For the calculated total energy, the calculation gives -5.9156 eV/atom. Its total magnetic moment is 0.00 μB/f.u.

Geometry as Quantum ESPRESSO input:
```
&SYSTEM
  ibrav = 0, nat = 7, ntyp = 3
/
ATOMIC_SPECIES
Y 88.91 Y.upf
Cl 35.45 Cl.upf
Fe 55.84 Fe.upf
ATOMIC_POSITIONS crystal
Y 0.000 0.500 0.000
Y 0.191 0.191 0.618
Cl 0.607 0.607 0.785
Cl 0.393 0.393 0.215
Fe 0.000 0.000 0.000
Y 0.809 0.809 0.382
Y 0.500 0.000 0.000
CELL_PARAMETERS angstrom
5.338 0.000 0.000
0.000 5.338 0.000
2.669 2.669 6.736
```



14.
A geometry-optimized YFe2Cl structure. Source: Alexandria, functional GGA-PBE. Values from VASP.

Output
The value obtained for the uncorrected formation energy is 0.053 eV per atom. The excess energy over the best structure of this formula in the dataset comes out at 0.301 eV/atom. For the calculated total energy, the calculation gives -6.2564 eV/atom. Its total magnetic moment is 4.82 μB/f.u.

Geometry as Quantum ESPRESSO input:
```
&SYSTEM
  ibrav = 0, nat = 4, ntyp = 3
/
ATOMIC_SPECIES
Cl 35.45 Cl.upf
Y 88.91 Y.upf
Fe 55.84 Fe.upf
ATOMIC_POSITIONS crystal
Cl 0.500 0.000 0.500
Y 0.500 0.500 0.000
Fe 0.000 0.000 0.000
Fe 0.000 0.500 0.500
CELL_PARAMETERS angstrom
-4.013 2.460 -2.286
-2.370 -2.268 1.719
-0.182 2.354 2.854
```



15.
A geometry-optimized YFeCl structure. Source: Alexandria, functional GGA-PBE. Values from VASP.

Output
The value obtained for the uncorrected formation energy is -0.261 eV per atom. For the calculated total energy, the calculation gives -5.8526 eV/atom. Its total magnetic moment is 2.20 μB/f.u.

Geometry as Quantum ESPRESSO input:
```
&SYSTEM
  ibrav = 0, nat = 3, ntyp = 3
/
ATOMIC_SPECIES
Cl 35.45 Cl.upf
Fe 55.84 Fe.upf
Y 88.91 Y.upf
ATOMIC_POSITIONS crystal
Cl 0.034 0.034 0.966
Fe 0.300 0.300 0.700
Y 0.665 0.665 0.335
CELL_PARAMETERS angstrom
-5.254 2.665 4.101
-5.205 -0.502 4.923
1.538 0.730 2.795
```



16.
A geometry-optimized YFe2Cl structure. Source: Alexandria, functional GGA-PBE. Values from VASP.

Output
The value obtained for the uncorrected formation energy is -0.214 eV per atom. The excess energy over the best structure of this formula in the dataset comes out at 0.034 eV/atom. For the calculated total energy, the calculation gives -6.5234 eV/atom. Its total magnetic moment is 4.66 μB/f.u.

Geometry as Quantum ESPRESSO input:
```
&SYSTEM
  ibrav = 0, nat = 4, ntyp = 3
/
ATOMIC_SPECIES
Y 88.91 Y.upf
Fe 55.84 Fe.upf
Cl 35.45 Cl.upf
ATOMIC_POSITIONS crystal
Y 0.000 0.000 0.471
Fe 0.500 0.500 0.231
Fe 0.000 0.000 0.113
Cl 0.500 0.500 0.685
CELL_PARAMETERS angstrom
3.200 0.010 0.000
-0.008 3.200 0.000
0.000 0.000 8.250
```



17.
A geometry-optimized YFeCl structure. Source: Alexandria, functional GGA-PBE. Values from VASP.

Output
The value obtained for the uncorrected formation energy is 0.089 eV per atom. For the calculated total energy, the calculation gives -5.5017 eV/atom. Its total magnetic moment is 2.73 μB/f.u.

Geometry as Quantum ESPRESSO input:
```
&SYSTEM
  ibrav = 0, nat = 3, ntyp = 3
/
ATOMIC_SPECIES
Fe 55.84 Fe.upf
Y 88.91 Y.upf
Cl 35.45 Cl.upf
ATOMIC_POSITIONS crystal
Fe 0.000 0.000 0.000
Y 0.500 0.500 0.500
Cl 0.750 0.750 0.750
CELL_PARAMETERS angstrom
4.539 0.000 0.000
2.270 3.931 0.000
2.270 1.310 3.706
```



18.
A geometry-optimized YFe2Cl structure. Source: Alexandria, functional GGA-PBE. Values from VASP.

Output
The value obtained for the uncorrected formation energy is -0.222 eV per atom. The excess energy over the best structure of this formula in the dataset comes out at 0.026 eV/atom. For the calculated total energy, the calculation gives -6.5314 eV/atom. Its total magnetic moment is 4.73 μB/f.u.

Geometry as Quantum ESPRESSO input:
```
&SYSTEM
  ibrav = 0, nat = 4, ntyp = 3
/
ATOMIC_SPECIES
Y 88.91 Y.upf
Fe 55.84 Fe.upf
Cl 35.45 Cl.upf
ATOMIC_POSITIONS crystal
Y 0.000 0.573 0.479
Fe 0.000 0.775 0.075
Fe 0.500 0.205 0.215
Cl 0.500 0.947 0.731
CELL_PARAMETERS angstrom
-1.978 0.649 -2.405
1.829 -1.775 -1.983
-3.048 -6.814 0.667
```



19.
A geometry-optimized YFe2Cl structure. Source: Alexandria, functional GGA-PBE. Values from VASP.

Output
The value obtained for the uncorrected formation energy is 0.693 eV per atom. The excess energy over the best structure of this formula in the dataset comes out at 0.941 eV/atom. For the calculated total energy, the calculation gives -5.6161 eV/atom. Its total magnetic moment is 5.09 μB/f.u.

Geometry as Quantum ESPRESSO input:
```
&SYSTEM
  ibrav = 0, nat = 4, ntyp = 3
/
ATOMIC_SPECIES
Fe 55.84 Fe.upf
Cl 35.45 Cl.upf
Y 88.91 Y.upf
ATOMIC_POSITIONS crystal
Fe 0.250 0.250 0.250
Fe 0.750 0.750 0.750
Cl 0.000 0.000 0.000
Y 0.500 0.500 0.500
CELL_PARAMETERS angstrom
2.985 3.417 1.199
-1.104 2.973 3.459
2.286 -0.210 4.093
```



20.
A geometry-optimized YFeCl3 structure. Source: Alexandria, functional GGA-PBE. Values from VASP.

Output
The value obtained for the uncorrected formation energy is -0.768 eV per atom. The excess energy over the best structure of this formula in the dataset comes out at 0.000 eV/atom. For the calculated total energy, the calculation gives -4.8612 eV/atom. Its total magnetic moment is 4.00 μB/f.u.

Geometry as Quantum ESPRESSO input:
```
&SYSTEM
  ibrav = 0, nat = 5, ntyp = 3
/
ATOMIC_SPECIES
Fe 55.84 Fe.upf
Cl 35.45 Cl.upf
Y 88.91 Y.upf
ATOMIC_POSITIONS crystal
Fe 0.500 0.500 0.500
Cl 0.500 0.000 0.000
Y 0.000 0.000 0.000
Cl 0.000 0.000 0.500
Cl 0.000 0.500 0.000
CELL_PARAMETERS angstrom
-2.345 -1.437 -4.549
4.091 -3.213 -1.094
-2.454 -3.984 2.523
```